# MgTiBO4, single point on PBEsol structure, DFT meta-GGA SCAN
data_MgTiBO4
_chemical_formula_sum 'Mg4 Ti4 B4 O16'
_cell_length_a 3.0777
_cell_length_b 9.4234
_cell_length_c 9.3722
_cell_angle_alpha 90.00
_cell_angle_beta 90.00
_cell_angle_gamma 90.00
_symmetry_space_group_name_H-M 'P 1'
_symmetry_Int_Tables_number 1
_symmetry_space_group_name_Hall 'P 1'
loop_
_atom_site_label
_atom_site_type_symbol
_atom_site_fract_x
_atom_site_fract_y
_atom_site_fract_z
Mg1 Mg 0.0000 0.0598 0.0000
Mg2 Mg 0.0000 0.3166 0.4828
Mg3 Mg 0.0000 0.6834 0.9828
Mg4 Mg 0.0000 0.9402 0.5000
Ti1 Ti 0.5000 0.1788 0.7153
Ti2 Ti 0.5000 0.4415 0.2039
Ti3 Ti 0.5000 0.5585 0.7039
Ti4 Ti 0.5000 0.8212 0.2153
B1 B 0.0000 0.3729 0.9308
B2 B 0.0000 0.6271 0.4308
B3 B 0.5000 0.1268 0.2696
B4 B 0.5000 0.8732 0.7696
O1 O 0.0000 0.1316 0.5949
O2 O 0.0000 0.2423 0.8658
O3 O 0.0000 0.3810 0.0774
O4 O 0.0000 0.4999 0.3561
O5 O 0.0000 0.5001 0.8561
O6 O 0.0000 0.6190 0.5774
O7 O 0.0000 0.7577 0.3658
O8 O 0.0000 0.8684 0.0949
O9 O 0.5000 0.0007 0.3495
O10 O 0.5000 0.1219 0.1253
O11 O 0.5000 0.2585 0.3406
O12 O 0.5000 0.3682 0.6311
O13 O 0.5000 0.6318 0.1311
O14 O 0.5000 0.7415 0.8406
O15 O 0.5000 0.8781 0.6253
O16 O 0.5000 0.9993 0.8495
# * calculated total energy: -296.13 eV/cell
# * space group: No. 26